Computed, not measured: crystalline YBiPbW2 at its relaxed geometry at the GGA-PBE level of DFT.

Lattice parameters (Å, degrees): 5.093 5.093 5.603 90.00 90.00 90.00
Sites, in units of the cell vectors:
Y  0.000  0.000  0.000
Bi  0.500  0.500  0.000
Pb  0.000  0.000  0.500
W  0.000  0.500  0.500
W  0.500  0.000  0.500

Properties
The calculation puts the uncorrected energy at -0.22180 hartree per atom. The calculation puts the energy relative to the elements at 1956.4 meV/atom.